Entry from Alexandria via LeMat-Bulk: a relaxed FeP2PdS crystal (PBE-GGA).

Summary:
- Crystal system: tetragonal
- Calculated density: 4.17 g cm⁻³
- Space-group type: P4/mmm
- Formation energy (no corrections): 99.2 kJ/mol of atoms
- Distance to the lowest polymorph of the same formula: 259 kJ/mol of formula units
- V: 102 Å³ per cell

Cell: 4.573 4.573 4.880 Å, 90.00 90.00 90.00°
Last column: magnetic moment on the atom in μB.
Atoms (fractional coordinates):
1 Fe 0.500 0.500 0.500  3.33
2 Pd 0.000 0.000 0.000  -0.07
3 P 0.000 0.500 0.000  -0.16
4 P 0.500 0.000 0.000  -0.16
5 S 0.000 0.000 0.500  -0.02



Entry from Alexandria via LeMat-Bulk: a relaxed Tm4PaS5 crystal (PBE-GGA).

Summary:
- Crystal system: orthorhombic
- Calculated density: 8.76 g cm⁻³
- Space-group type: Immm
- Formation energy (no corrections): -179.9 kJ/mol of atoms
- V: 202 Å³ per cell

Cell: 3.817 5.449 10.280 Å, 105.37 100.70 90.00°
Atoms (fractional coordinates):
1 S 0.398 0.898 0.795
2 S 0.000 0.500 0.000
3 Tm 0.803 0.803 0.606
4 Tm 0.402 0.402 0.804
5 Tm 0.598 0.598 0.196
6 S 0.602 0.102 0.205
7 Pa 0.000 0.000 0.000
8 S 0.799 0.299 0.598
9 S 0.201 0.701 0.402
10 Tm 0.197 0.197 0.394



Entry from Alexandria via LeMat-Bulk: a relaxed P2HSBr crystal (PBE-GGA).

Summary:
- Crystal system: tetragonal
- Calculated density: 2.32 g cm⁻³
- Space-group type: P4/mmm
- Distance to the lowest polymorph of the same formula: 407 kJ/mol of formula units
- V: 125 Å³ per cell

Cell: 5.013 5.013 4.976 Å, 90.00 90.00 90.00°
Last column: magnetic moment on the atom in μB.
Atoms (fractional coordinates):
1 S 0.000 0.000 0.500  0.15
2 Br 0.000 0.000 0.000  -0.01
3 P 0.500 0.000 0.000  0.31
4 P 0.000 0.500 0.000  0.31
5 H 0.500 0.500 0.500  0.35



Entry from Alexandria via LeMat-Bulk: a relaxed Si3MoPb crystal (PBE-GGA).

Summary:
- Crystal system: cubic
- Calculated density: 5.75 g cm⁻³
- Space-group type: Pm-3m
- Formation energy (no corrections): 49.5 kJ/mol of atoms
- Distance to the lowest polymorph of the same formula: 0 kJ/mol of formula units
- V: 112 Å³ per cell

Cell: 4.818 4.818 4.818 Å, 90.00 90.00 90.00°
Atoms (fractional coordinates):
1 Si 0.000 0.000 0.500
2 Si 0.500 0.000 0.000
3 Mo 0.000 0.000 0.000
4 Pb 0.500 0.500 0.500
5 Si 0.000 0.500 0.000